(1)
Material: LaDy2Al3
Method: DFT, GGA-PBE
State: optimized geometry

Results
DFT total energy = -4.612 eV/atom
Theoretical density = 6.116 g/cm³
Energy of formation from the pure elements = -0.385 eV/atom

Unit cell a=3.6494 b=3.6494 c=11.1068 alpha=90.00 beta=90.00 gamma=90.00
With the nearest neighbours (Å) after each atom.
Element x y z (fractional)
La1 0.0000 0.0000 0.0000  8 Al 3.29, 4 La 3.65
Dy1 0.0000 0.0000 0.3404  8 Al 3.11-3.13
Dy2 0.0000 0.0000 0.6596  8 Al 3.11-3.13
Al1 0.5000 0.5000 0.1843  4 Dy 3.11, 4 La 3.29
Al2 0.5000 0.5000 0.5000  8 Dy 3.13, 2 Al 3.51
Al3 0.5000 0.5000 0.8157  4 Dy 3.11, 4 La 3.29

(2)
Material: PuZnCu2O6
Method: DFT, GGA-PBE
State: optimized geometry

Results
DFT total energy = -6.783 eV/atom
Theoretical density = 7.067 g/cm³

Unit cell a=6.8960 b=6.8960 c=5.3697 alpha=97.69 beta=97.69 gamma=85.23
With the nearest neighbours (Å) after each atom.
Element x y z (fractional)
Pu1 0.2346 0.7654 0.7500  6 O 1.98-2.18
Pu2 0.7654 0.2346 0.2500  6 O 1.98-2.18
Zn1 0.4156 0.5844 0.2500  6 O 2.08-2.19
Zn2 0.5844 0.4156 0.7500  6 O 2.08-2.19
Cu1 0.1069 0.2822 0.8188  4 O 1.94-1.98
Cu2 0.2822 0.1069 0.3188  4 O 1.94-1.98
Cu3 0.7178 0.8931 0.6812  4 O 1.94-1.98
Cu4 0.8931 0.7178 0.1812  4 O 1.94-1.98
O1 0.0412 0.2115 0.1327  2 Cu 1.94-1.96, 1 Pu 2.07
O2 0.1358 0.6493 0.4038  1 Pu 1.98, 1 Cu 1.98, 1 Zn 2.19
O3 0.2115 0.0412 0.6327  2 Cu 1.94-1.96, 1 Pu 2.07
O4 0.3005 0.4795 0.8824  1 Cu 1.95, 2 Zn 2.08-2.16, 1 Pu 2.18
O5 0.3507 0.8642 0.0962  1 Pu 1.98, 1 Cu 1.98, 1 Zn 2.19
O6 0.4795 0.3005 0.3824  1 Cu 1.95, 2 Zn 2.08-2.16, 1 Pu 2.18
O7 0.5205 0.6995 0.6176  1 Cu 1.95, 2 Zn 2.08-2.16, 1 Pu 2.18
O8 0.6493 0.1358 0.9038  1 Pu 1.98, 1 Cu 1.98, 1 Zn 2.19
O9 0.6995 0.5205 0.1176  1 Cu 1.95, 2 Zn 2.08-2.16, 1 Pu 2.18
O10 0.7885 0.9588 0.3673  2 Cu 1.94-1.96, 1 Pu 2.07
O11 0.8642 0.3507 0.5962  1 Pu 1.98, 1 Cu 1.98, 1 Zn 2.19
O12 0.9588 0.7885 0.8673  2 Cu 1.94-1.96, 1 Pu 2.07

(3)
Material: MgClF2
Method: DFT, GGA-PBE
State: optimized geometry

Results
DFT total energy = -3.012 eV/atom
Theoretical density = 1.539 g/cm³
Energy above the lowest structure with this stoichiometry = 30.574 kcal/mol of atoms

Unit cell a=9.2611 b=9.2611 c=9.2611 alpha=22.89 beta=22.89 gamma=22.89
With the nearest neighbours (Å) after each atom.
Element x y z (fractional)
Mg1 0.0000 0.0000 0.0000  2 F 1.74
Cl1 0.5000 0.5000 0.5000  6 F 3.49, 6 Cl 3.68
F1 0.0644 0.0644 0.0644  1 Mg 1.74
F2 0.9356 0.9356 0.9356  1 Mg 1.74

(4)
Material: Y2SeO2
Method: DFT, GGA-PBE
State: optimized geometry

Results
DFT total energy = -7.438 eV/atom
Theoretical density = 6.220 g/cm³

Unit cell a=7.0817 b=7.0817 c=3.0746 alpha=90.00 beta=90.00 gamma=90.00
With the nearest neighbours (Å) after each atom.
Element x y z (fractional)
Y1 0.1622 0.3378 0.0000  6 O 2.55-2.66
Y2 0.3378 0.8378 0.0000  6 O 2.55-2.66
Y3 0.6622 0.1622 0.0000  6 O 2.55-2.66
Y4 0.8378 0.6622 0.0000  6 O 2.55-2.66
Se1 0.0000 0.0000 0.5000  4 O 2.81, 8 Y 3.07, 2 Se 3.07
Se2 0.5000 0.5000 0.5000  4 O 2.81, 8 Y 3.07, 2 Se 3.07
O1 0.1216 0.6216 0.5000  1 O 2.44, 6 Y 2.55-2.66
O2 0.3784 0.1216 0.5000  1 O 2.44, 6 Y 2.55-2.66
O3 0.6216 0.8784 0.5000  1 O 2.44, 6 Y 2.55-2.66
O4 0.8784 0.3784 0.5000  1 O 2.44, 6 Y 2.55-2.66

- The highest theoretical density belongs to which entry?
  PuZnCu2O6